PBE LaSc3I, optimized geometry; volume = 31.3 A^3/atom; ΔE_f (raw) = 18.5 kJ per mole of atoms; DOS at the Fermi energy = 7.8 states/eV/f.u.; crystal system = cubic; symmetry = No. 221
1.0
5.391 0.000 0.000
0.000 5.391 0.000
0.000 0.000 5.391
La Sc I
1 3 1
Cartesian
0.000 0.000 0.000
0.000 2.696 2.696
2.696 0.000 2.696
2.696 2.696 0.000
2.696 2.696 2.696